(1)
PrSnRh2 | PBE-GGA | relaxed

The structure in extended XYZ format:
```
4
Lattice="-0.4342 -2.4540 2.4619 0.2693 -2.4973 -2.4418 6.4540 -0.2112 0.9277" Properties=species:S:1:pos:R:3 pbc="T T T"
Pr -0.0824 -2.4756 0.0100
Rh 4.6382 -0.1518 0.6667
Rh 1.8158 -0.0594 0.2610
Sn 3.1445 -2.5812 0.4739
```

SG = P4/mmm
Total magnetic moment = 0.000 μB per cell
Crystal system = tetragonal
Energy of formation from the pure elements = -0.4998 eV per atom

(2)
PrSn2Rh | PBE-GGA | relaxed

The structure in extended XYZ format:
```
16
Lattice="-2.2125 -1.7886 -3.6795 3.7006 -8.7548 2.0306 -7.5713 3.5340 5.7744" Properties=species:S:1:pos:R:3 pbc="T T T"
Sn -4.9362 -6.7175 3.2939
Sn -4.4018 -0.1785 -0.2061
Sn -6.8195 -2.3485 2.3025
Sn -1.1470 -0.2920 0.8316
Sn -2.8680 -4.0237 3.6805
Sn -1.6814 -6.8310 4.3316
Sn 0.7363 -4.6610 1.8230
Sn -3.2152 -2.9857 0.4450
Rh -6.8533 0.0625 1.1509
Rh -5.0065 -4.3066 2.1643
Rh -1.0767 -2.7028 1.9613
Rh 0.7701 -7.0720 2.9747
Pr -0.1058 -3.2612 -1.2908
Pr -3.9835 -1.0139 2.8881
Pr -2.0997 -5.9956 1.2374
Pr 1.5939 -7.2822 -0.3581
```

SG = Immm
Total magnetic moment = 0.000 μB per cell
Crystal system = orthorhombic
Energy of formation from the pure elements = -0.7519 eV per atom

(3)
Pr6SnRh2 | PBE-GGA | relaxed

The structure in extended XYZ format:
```
18
Lattice="8.8600 -0.1211 -0.1594 -3.4690 8.1535 0.1594 -3.0280 -3.7931 7.4151" Properties=species:S:1:pos:R:3 pbc="T T T"
Pr 6.1827 1.6757 0.1551
Pr -2.4962 -0.7223 6.1035
Pr 2.6403 1.6556 1.3116
Pr -0.3479 0.2335 3.2124
Pr -3.8197 2.5636 7.2600
Pr 2.7110 4.0058 4.2026
Pr -0.4750 3.9190 2.4960
Pr 2.8380 0.3204 4.9191
Pr -2.6902 5.4057 5.0785
Pr -0.2773 2.5837 6.1035
Pr 4.8592 4.9617 1.3116
Pr 5.0532 -1.1663 2.3365
Rh 0.5287 -0.3549 6.4110
Rh 1.8343 4.5942 1.0040
Rh 3.8596 -2.5904 4.8018
Rh 1.9724 -1.3238 2.4538
Sn 0.0000 0.0000 0.0000
Sn -3.2485 2.1802 3.7872
```

SG = Immm
Total magnetic moment = 0.000 μB per cell
Crystal system = orthorhombic
Energy of formation from the pure elements = -0.5152 eV per atom

(4)
Pr12SnRh6 | PBE-GGA | relaxed

The structure in extended XYZ format:
```
19
Lattice="8.3994 0.0000 -2.9696 -4.1997 7.2741 -2.9696 0.0000 0.0000 8.9089" Properties=species:S:1:pos:R:3 pbc="T T T"
Pr 3.6921 3.7129 3.6874
Pr 2.1436 6.3950 -3.0316
Pr 6.6100 1.3410 3.0315
Pr -1.3694 5.0539 5.2215
Pr -2.4103 5.9330 -0.0619
Pr 3.9330 5.0539 0.0619
Pr 0.2667 2.2201 2.9077
Pr 2.0561 0.8791 6.0012
Pr 0.8618 5.9330 2.2518
Pr 3.3378 1.3410 0.7178
Pr 0.5075 3.5612 -0.7178
Pr 5.5691 2.2201 -2.2519
Rh 3.6468 0.9576 3.7515
Rh 0.9941 3.6370 5.1574
Rh 0.5529 6.3165 -0.7819
Rh 3.2056 3.6370 -2.1878
Rh 5.7467 2.6794 0.7819
Rh -1.5470 4.5946 2.1878
Sn 0.0000 0.0000 0.0000
```

SG = Im-3
Total magnetic moment = 0.000 μB per cell
Crystal system = cubic
Energy of formation from the pure elements = -0.5264 eV per atom

(5)
PrSn4Rh4 | PBE-GGA | relaxed

The structure in extended XYZ format:
```
18
Lattice="-4.0467 -2.4740 2.0321 5.3375 -6.6735 2.5044 1.4274 4.0660 7.7927" Properties=species:S:1:pos:R:3 pbc="T T T"
Pr 1.3591 -2.5407 6.1646
Pr 0.0000 0.0000 0.0000
Rh -0.0069 0.0424 6.6104
Rh 0.1346 -2.7250 3.4806
Rh 5.5273 -2.7999 7.6196
Rh 2.5967 -2.3484 8.8420
Rh -1.2533 -0.9911 9.3790
Rh -0.0621 -6.5563 4.9757
Rh 2.7120 -5.1319 5.7254
Rh 1.2245 0.1843 2.6840
Sn -1.7022 -4.5628 4.1375
Sn 1.6079 1.4878 5.0336
Sn 1.1786 0.0375 8.9237
Sn 3.6910 -4.6373 8.2763
Sn 0.3863 -2.9849 10.2175
Sn -0.9854 -0.4519 4.0592
Sn 1.5522 -5.1113 3.3992
Sn 5.1444 -4.1030 5.2697
```

SG = P4_2/n
Total magnetic moment = 0.000 μB per cell
Crystal system = tetragonal
Energy of formation from the pure elements = -0.3872 eV per atom

(6)
Pr2Sn8Rh | PBE-GGA | relaxed

The structure in extended XYZ format:
```
11
Lattice="-1.8220 0.4270 4.3806 -0.5789 -4.7232 0.2196 11.5464 -1.1865 4.9180" Properties=species:S:1:pos:R:3 pbc="T T T"
Sn 2.3013 -2.5079 3.7916
Sn 1.0965 -2.5040 0.7001
Sn 9.8710 -3.4056 4.4375
Sn 6.8443 -2.9747 5.7266
Sn 9.2495 -0.8305 6.5180
Sn 0.4749 0.0711 2.7806
Sn 5.4838 -2.9548 2.5688
Sn 4.8622 -0.3797 4.6493
Rh 0.0000 0.0000 0.0000
Pr 7.9263 -0.8145 3.3761
Pr 3.6201 -0.3720 1.5419
```

SG = P4/mmm
Total magnetic moment = 0.000 μB per cell
Crystal system = tetragonal
Energy of formation from the pure elements = -0.4494 eV per atom

(7)
Pr2Sn4Rh5 | PBE-GGA | relaxed

The structure in extended XYZ format:
```
11
Lattice="5.9259 0.0000 0.0000 2.9629 5.0311 0.0000 2.9629 0.0000 8.0090" Properties=species:S:1:pos:R:3 pbc="T T T"
Sn 5.9259 1.6054 5.9316
Sn 2.9629 1.6054 2.0774
Sn 5.9259 3.4257 2.0774
Sn 8.8888 3.4257 5.9316
Rh 7.4074 2.5156 4.0045
Rh 4.4444 2.5156 4.0045
Rh 2.9629 0.0000 0.0000
Rh 1.4815 2.5156 0.0000
Rh 4.4444 2.5156 0.0000
Pr 5.9259 0.0000 1.9269
Pr 2.9629 0.0000 6.0822
```

SG = Fmmm
Total magnetic moment = 0.000 μB per cell
Crystal system = orthorhombic
Energy of formation from the pure elements = -0.6027 eV per atom

(8)
PrSn6Rh | PBE-GGA | relaxed

The structure in extended XYZ format:
```
8
Lattice="-4.1986 -1.2248 -0.0199 -0.2100 0.8315 -6.8715 1.9301 -6.6256 0.5732" Properties=species:S:1:pos:R:3 pbc="T T T"
Sn 1.2037 -4.0945 -1.9537
Sn -1.3661 -3.1153 -0.6573
Sn 0.0486 -0.0695 -5.9720
Sn 0.9313 -3.1094 -5.0914
Sn -0.5417 -5.8921 -3.6758
Sn 0.3179 -1.0434 -2.8455
Rh -1.7170 -1.8446 -4.8212
Pr -0.3932 -6.4573 -0.2162
```

SG = Amm2
Total magnetic moment = 0.000 μB per cell
Crystal system = orthorhombic
Energy of formation from the pure elements = -0.3008 eV per atom

(9)
Pr3Sn2Rh2 | PBE-GGA | relaxed

The structure in extended XYZ format:
```
28
Lattice="-2.1665 3.7392 4.1283 1.4980 -5.7742 6.0161 12.8052 5.3114 1.9093" Properties=species:S:1:pos:R:3 pbc="T T T"
Rh 1.7920 -3.6217 7.5132
Rh 5.8334 -1.9455 8.1158
Rh 7.5700 1.4414 5.9596
Rh 11.6114 3.1177 6.5621
Rh 4.5667 1.8350 6.0941
Rh 10.3448 6.8981 4.5404
Rh 6.3034 5.2218 3.9379
Rh 0.5254 0.1587 5.4915
Sn 1.9053 2.3097 6.4382
Sn 7.8777 6.6235 5.6653
Sn 4.2590 -3.3471 6.3883
Sn -0.3176 -1.8435 7.2580
Sn 6.0517 2.4642 3.8410
Sn 10.2315 0.9667 5.6154
Sn -0.3509 -0.1915 2.8863
Sn 6.0851 0.8122 8.2127
Pr 1.7669 -2.3778 4.4821
Pr -0.4469 3.0374 4.2652
Pr 9.3711 1.9755 8.5796
Pr 3.5293 4.6866 4.8580
Pr 2.9512 -0.6138 7.5558
Pr 8.6075 -1.4103 7.1956
Pr 2.7657 1.3009 3.4740
Pr 9.1855 3.8901 4.4979
Pr 10.3699 5.6541 7.5716
Pr 5.7431 -0.7286 5.0749
Pr 6.3937 4.0049 6.9788
Pr 12.5836 0.2389 7.7885
```

SG = Pbcm
Total magnetic moment = 0.000 μB per cell
Crystal system = orthorhombic
Energy of formation from the pure elements = -0.7930 eV per atom

(10)
Pr2Sn2Rh | PBE-GGA | relaxed

The structure in extended XYZ format:
```
10
Lattice="4.4950 0.0000 1.0653 2.2657 5.6856 0.4557 -0.0838 -0.4920 10.3692" Properties=species:S:1:pos:R:3 pbc="T T T"
Sn 4.7042 4.3115 10.1980
Sn 5.7103 4.1271 5.9529
Sn 0.9666 1.0665 5.9373
Sn 1.9727 0.8821 1.6921
Pr 3.7311 1.7231 4.2882
Pr 1.9712 4.1878 1.6984
Pr 4.7057 1.0058 10.1918
Pr 2.9458 3.4706 7.6020
Rh 3.7355 4.8683 4.2697
Rh 2.9414 0.3253 7.6205
```

SG = C2/m
Total magnetic moment = 0.000 μB per cell
Crystal system = monoclinic
E above lowest polymorph = 0.000 eV per formula unit
Energy of formation from the pure elements = -0.7987 eV per atom

(11)
Pr3Sn2Rh | PBE-GGA | relaxed

The structure in extended XYZ format:
```
24
Lattice="-1.1547 -0.7594 -4.3017 -8.0155 -8.2804 3.6134 -8.9960 9.0638 0.8148" Properties=species:S:1:pos:R:3 pbc="T T T"
Sn -10.2820 -1.4247 1.8252
Sn -15.7245 2.1314 2.6584
Sn -7.8842 1.4487 -1.6986
Sn -11.5677 3.0101 1.3874
Sn -2.4417 -2.1074 -2.5318
Sn -3.0757 2.6041 -0.8205
Sn -15.0905 -2.5801 0.9471
Sn -6.5985 -2.9860 -1.2609
Pr -3.7314 -2.7972 0.3090
Pr -8.0800 -3.9017 1.6713
Pr -10.8327 0.5129 -0.7419
Pr -11.8843 -3.7225 0.2880
Pr -10.0862 3.9257 -1.5448
Pr -6.2819 3.7465 -0.1615
Pr -8.5894 7.3923 -0.1856
Pr -7.3335 -0.4888 0.8685
Pr -4.8969 0.1079 -2.2638
Pr -14.4348 2.8213 -0.1825
Pr -9.5768 -7.3682 0.3122
Pr -13.2693 -0.0839 2.3904
Rh -8.8819 2.4635 0.7629
Rh -15.6597 0.1529 0.6174
Rh -9.2843 -2.4395 -0.6364
Rh -2.5065 -0.1289 -0.4908
```

SG = Pnma
Total magnetic moment = 0.000 μB per cell
Crystal system = orthorhombic
Energy of formation from the pure elements = -0.7756 eV per atom

(12)
PrSn6Rh6 | PBE-GGA | relaxed

The structure in extended XYZ format:
```
13
Lattice="5.6820 -0.0004 0.0000 -2.8406 4.9209 0.0000 0.0000 0.0000 8.8404" Properties=species:S:1:pos:R:3 pbc="T T T"
Rh 1.4207 2.4603 2.2135
Rh -1.4203 2.4605 2.2135
Rh 1.4207 2.4603 6.6269
Rh -1.4203 2.4605 6.6269
Rh 2.8410 -0.0002 2.2135
Rh 2.8410 -0.0002 6.6269
Sn 2.8411 1.6400 4.4202
Sn 2.8411 1.6400 0.0000
Sn 0.0002 3.2805 0.0000
Sn 0.0000 0.0000 5.8394
Sn 0.0000 0.0000 3.0010
Sn 0.0002 3.2805 4.4202
Pr 0.0000 0.0000 0.0000
```

SG = P6/mmm
Total magnetic moment = 0.000 μB per cell
Crystal system = hexagonal
Energy of formation from the pure elements = -0.5558 eV per atom

no.,total DFT energy (no corrections) (eV per atom)
1,-6.371
2,-5.786
3,-5.780
4,-6.077
5,-5.965
6,-4.898
7,-6.269
8,-4.819
9,-6.085
10,-5.782
11,-5.725
12,-6.164